Record 1
# Zn2SbOs (PBE-GGA, relaxed)
data_Zn2SbOs
_symmetry_space_group_name_H-M 'I 4/m m m'
_symmetry_Int_Tables_number 139
_symmetry_space_group_name_Hall '-I 4 2'
_cell_length_a 3.921
_cell_length_b 3.921
_cell_length_c 8.502
_cell_angle_alpha 90.00
_cell_angle_beta 90.00
_cell_angle_gamma 90.00
loop_
_atom_site_label
_atom_site_type_symbol
_atom_site_fract_x
_atom_site_fract_y
_atom_site_fract_z
Zn1 Zn 0.000 0.500 0.250
Sb1 Sb 0.000 0.000 0.000
Os1 Os 0.000 0.000 0.500
# Raw formation energy: 337.8 meV/atom
# Mass density: 11.3 g cm⁻³

---

Record 2
# Sm3BeRh2 (PBE-GGA, relaxed)
data_Sm3BeRh2
_symmetry_space_group_name_H-M 'P n m a'
_symmetry_Int_Tables_number 62
_cell_length_a 11.396
_cell_length_b 3.956
_cell_length_c 11.893
_cell_angle_alpha 90.00
_cell_angle_beta 90.00
_cell_angle_gamma 90.00
loop_
_symmetry_equiv_pos_as_xyz
'x,y,z'
'-x,-y,-z'
'-x+1/2,-y,z+1/2'
'x+1/2,y,-z+1/2'
'x+1/2,-y+1/2,-z+1/2'
'-x+1/2,y+1/2,z+1/2'
'-x,y+1/2,-z'
'x,-y+1/2,z'
loop_
_atom_site_label
_atom_site_type_symbol
_atom_site_fract_x
_atom_site_fract_y
_atom_site_fract_z
Sm1 Sm 0.065 0.250 0.120
Sm2 Sm 0.125 0.750 0.552
Sm3 Sm 0.201 0.250 0.799
Be1 Be 0.125 0.250 0.365
Rh1 Rh 0.033 0.750 0.318
Rh2 Rh 0.194 0.750 0.973
# Formation energy: -0.577 eV/atom
# Mass density: 8.2 g cm⁻³

---

Record 3
# Er6Si2TeSe3 (PBE-GGA, relaxed)
data_Er6Si2TeSe3
_symmetry_space_group_name_H-M 'C 1 2/m 1'
_symmetry_Int_Tables_number 12
_cell_length_a 17.909
_cell_length_b 4.108
_cell_length_c 8.291
_cell_angle_alpha 90.00
_cell_angle_beta 102.70
_cell_angle_gamma 90.00
loop_
_symmetry_equiv_pos_as_xyz
'x,y,z'
'-x,-y,-z'
'-x,y,-z'
'x,-y,z'
'x+1/2,y+1/2,z'
'-x+1/2,-y+1/2,-z'
'-x+1/2,y+1/2,-z'
'x+1/2,-y+1/2,z'
loop_
_atom_site_label
_atom_site_type_symbol
_atom_site_fract_x
_atom_site_fract_y
_atom_site_fract_z
Er1 Er 0.009 0.000 0.272
Er2 Er 0.171 0.500 0.576
Er3 Er 0.174 0.500 0.108
Si1 Si 0.168 0.000 0.336
Te1 Te 0.000 0.500 0.000
Se1 Se 0.000 0.500 0.500
Se2 Se 0.162 0.000 0.837
# Raw formation energy: -1380.7 meV/atom
# Mass density: 7.9 g cm⁻³

---

Record 4
# LiEr2Pb (PBE-GGA, relaxed)
data_LiEr2Pb
_symmetry_space_group_name_H-M 'P 4/m m m'
_symmetry_Int_Tables_number 123
_symmetry_space_group_name_Hall '-P 4 2'
_cell_length_a 4.875
_cell_length_b 4.875
_cell_length_c 4.334
_cell_angle_alpha 90.00
_cell_angle_beta 90.00
_cell_angle_gamma 90.00
loop_
_atom_site_label
_atom_site_type_symbol
_atom_site_fract_x
_atom_site_fract_y
_atom_site_fract_z
Li1 Li 0.000 0.000 0.000
Er1 Er 0.000 0.500 0.500
Pb1 Pb 0.500 0.500 0.000
# Formation energy: -0.275 eV/atom
# Mass density: 8.8 g cm⁻³

---

Record 5
# PdAu3I (PBE-GGA, relaxed)
data_PdAu3I
_symmetry_space_group_name_H-M 'P m -3 m'
_symmetry_Int_Tables_number 221
_symmetry_space_group_name_Hall '-P 4 2 3'
_cell_length_a 5.091
_cell_length_b 5.091
_cell_length_c 5.091
_cell_angle_alpha 90.00
_cell_angle_beta 90.00
_cell_angle_gamma 90.00
loop_
_atom_site_label
_atom_site_type_symbol
_atom_site_fract_x
_atom_site_fract_y
_atom_site_fract_z
Pd1 Pd 0.000 0.000 0.000
Au1 Au 0.000 0.000 0.500
I1 I 0.500 0.500 0.500
# Raw formation energy: 705.1 meV/atom
# Mass density: 10.4 g cm⁻³
# Energy above the lowest structure with this stoichiometry: 0 meV per atom

---

Record 6
# K2CdAs (PBE-GGA, relaxed)
data_K2CdAs
_symmetry_space_group_name_H-M 'P m m m'
_symmetry_Int_Tables_number 47
_cell_length_a 3.267
_cell_length_b 4.772
_cell_length_c 8.354
_cell_angle_alpha 90.00
_cell_angle_beta 90.00
_cell_angle_gamma 90.00
loop_
_symmetry_equiv_pos_as_xyz
'x,y,z'
'-x,-y,-z'
'-x,-y,z'
'x,y,-z'
'x,-y,-z'
'-x,y,z'
'-x,y,-z'
'x,-y,z'
loop_
_atom_site_label
_atom_site_type_symbol
_atom_site_fract_x
_atom_site_fract_y
_atom_site_fract_z
K1 K 0.000 0.000 0.212
Cd1 Cd 0.500 0.500 0.500
As1 As 0.500 0.500 0.000
# Formation energy: -0.072 eV/atom
# Mass density: 3.4 g cm⁻³
# Energy above the lowest structure with this stoichiometry: 188 meV per atom

---

Quick rundown of magnetic moment, same order as above: 0.00; 0.00; 0.00; 0.12; 0.00; 0.00 μB/atom